A plane-wave DFT calculation with PBE was carried out for a relaxed Co2CuTe crystal.

Output
ΔE_f (raw), eV per atom: 0.4573
Spin magnetization, μB/cell: 3.24

Geometry as CIF:
```
data_Co2CuTe
_chemical_formula_sum 'Co2 Cu1 Te1'
_cell_length_a 2.9998
_cell_length_b 4.1725
_cell_length_c 5.2025
_cell_angle_alpha 90.00
_cell_angle_beta 101.97
_cell_angle_gamma 90.00
_symmetry_space_group_name_H-M 'P 1 2/m 1'
_symmetry_Int_Tables_number 10
loop_
_symmetry_equiv_pos_as_xyz
'x,y,z'
'-x,-y,-z'
'-x,y,-z'
'x,-y,z'
loop_
_atom_site_label
_atom_site_fract_x
_atom_site_fract_y
_atom_site_fract_z
Co1 0.1424 0.0000 0.3158
Cu1 0.5000 0.5000 0.5000
Te1 0.0000 0.5000 0.0000
```